# PBE-GGA K3In4Sn2, relaxed
data_K3In4Sn2
_cell_length_a 5.029
_cell_length_b 7.419
_cell_length_c 9.873
_cell_angle_alpha 68.76
_cell_angle_beta 75.32
_cell_angle_gamma 70.22
_symmetry_space_group_name_H-M 'P 1'
_symmetry_Int_Tables_number 1
loop_
_symmetry_equiv_pos_as_xyz
'x,y,z'
loop_
_atom_site_label
_atom_site_fract_x
_atom_site_fract_y
_atom_site_fract_z
_atom_site_occupancy
K1 0.000 0.000 0.000 1
K2 0.380 0.878 0.361 1
K3 0.620 0.122 0.639 1
In1 0.078 0.497 0.345 1
In2 0.317 0.326 0.040 1
In3 0.683 0.674 0.960 1
In4 0.922 0.503 0.655 1
Sn1 0.287 0.672 0.755 1
Sn2 0.713 0.328 0.245 1
# ΔE to the lowest computed polymorph	24.3	meV/atom
# space group	P-1